1.
SrNiNO2 GGA+U optimized geometry; total moment = 2.8 μB/f.u.; crystal system = tetragonal; electronic total energy = -5.141 eV/atom; space-group type = P4/mmm (123); Fermi-level density of states = 1.64 states/eV/cell
1.0
-0.968 0.241 3.906
3.813 -0.848 0.998
0.813 3.628 -0.022
Ni O N Sr
1 2 1 1
direct
0.000 0.000 0.000
0.000 0.500 0.000
0.500 0.000 0.000
0.000 0.000 0.500
0.500 0.500 0.500

2.
Sr2NiNO GGA+U optimized geometry; total moment = 1.0 μB/f.u.; crystal system = tetragonal; electronic total energy = -4.248 eV/atom; space-group type = P4/mmm (123); Fermi-level density of states = 0.60 states/eV/cell
1.0
-0.861 -5.099 0.723
2.089 -0.733 -2.684
4.086 -0.230 3.243
Sr Ni N O
2 1 1 1
direct
0.500 0.000 0.000
0.000 0.000 0.500
0.000 0.000 0.000
0.000 0.500 0.000
0.500 0.500 0.500

Copy entry 2 word for word.
Sr2NiNO GGA+U optimized geometry; total moment = 1.0 μB/f.u.; crystal system = tetragonal; electronic total energy = -4.248 eV/atom; space-group type = P4/mmm (123); Fermi-level density of states = 0.60 states/eV/cell
1.0
-0.861 -5.099 0.723
2.089 -0.733 -2.684
4.086 -0.230 3.243
Sr Ni N O
2 1 1 1
direct
0.500 0.000 0.000
0.000 0.000 0.500
0.000 0.000 0.000
0.000 0.500 0.000
0.500 0.500 0.500

> Fermi-level density of states of number 2 (Sr2NiNO)?

0.60 states/eV/cell

> Number 1 is which compound?

SrNiNO2